[1]
Below is a geometry-optimized Be3In structure, with properties calculated at the PBE level.

Calculated values
SG	P-1
calculated volume	13.66	Å³ per atom
calculated formation energy	0.26	eV per atom
density of states at the Fermi level	1.10	states/eV/f.u.
calculated total energy	-3.22	eV per atom

Cell: 3.5920 5.6288 5.9776 Å, 81.67 72.70 71.49°
Fractional positions:
Be  0.0761  0.0186  0.3286
Be  0.2233  0.6053  0.4481
Be  0.3992  0.1930  0.5075
Be  0.6008  0.8070  0.4925
Be  0.7767  0.3947  0.5519
Be  0.9239  0.9814  0.6714
In  0.3919  0.7652  0.9547
In  0.6081  0.2348  0.0453



[2]
Below is a geometry-optimized LaEr3Tl2 structure, with properties calculated at the PBE level.

Calculated values
SG	C2/m
calculated volume	30.26	Å³ per atom
calculated formation energy	-0.18	eV per atom
density of states at the Fermi level	6.28	states/eV/f.u.
calculated total energy	-4.08	eV per atom

Cell: 8.6877 8.6877 9.2981 Å, 117.43 117.43 36.28°
Fractional positions:
La  0.1326  0.1326  0.1748
La  0.8674  0.8674  0.8252
Er  0.0618  0.0618  0.7141
Er  0.3065  0.3065  0.0124
Er  0.3857  0.3857  0.4627
Er  0.6143  0.6143  0.5373
Er  0.6935  0.6935  0.9876
Er  0.9382  0.9382  0.2859
Tl  0.2215  0.2215  0.5978
Tl  0.4851  0.4851  0.8294
Tl  0.5149  0.5149  0.1706
Tl  0.7785  0.7785  0.4022



[3]
Below is a geometry-optimized NaLiLuSn structure, with properties calculated at the PBE level.

Calculated values
SG	F-43m
calculated volume	24.18	Å³ per atom
calculated formation energy	-0.21	eV per atom
density of states at the Fermi level	2.95	states/eV/f.u.
calculated total energy	-3.15	eV per atom

Cell: 5.1521 5.1521 5.1521 Å, 60.00 60.00 60.00°
Fractional positions:
Na  0.0000  0.0000  0.0000
Li  0.2500  0.2500  0.2500
Lu  0.5000  0.5000  0.5000
Sn  0.7500  0.7500  0.7500



[4]
Below is a geometry-optimized Tl2SbCl6 structure, with properties calculated at the PBE level.

Calculated values
ΔE_f (raw)	-0.88	eV per atom
SG	C2/m
calculated volume	30.05	Å³ per atom
density of states at the Fermi level	3.88	states/eV/f.u.
calculated total energy	-3.10	eV per atom

Cell: 7.2574 7.2574 7.2601 Å, 119.99 119.99 60.03°
Fractional positions:
Tl  0.2500  0.2500  0.2496
Tl  0.7500  0.7500  0.7504
Sb  0.0000  0.0000  0.5000
Cl  0.2470  0.2470  0.7463
Cl  0.2465  0.7528  0.2528
Cl  0.2472  0.7535  0.7472
Cl  0.7528  0.2465  0.2528
Cl  0.7535  0.2472  0.7472
Cl  0.7530  0.7530  0.2537



[5]
Below is a geometry-optimized SrPPbS2 structure, with properties calculated at the PBE level.

Calculated values
ΔE_f (raw)	0.33	eV per atom
SG	P4/mmm
calculated volume	33.87	Å³ per atom
density of states at the Fermi level	5.79	states/eV/f.u.
calculated total energy	-3.49	eV per atom

Cell: 5.5343 5.5343 5.5295 Å, 90.00 90.00 90.00°
Fractional positions:
Sr  0.0000  0.0000  0.0000
P  0.0000  0.0000  0.5000
Pb  0.5000  0.5000  0.5000
S  0.0000  0.5000  0.0000
S  0.5000  0.0000  0.0000



[6]
Below is a geometry-optimized P2PbW structure, with properties calculated at the PBE level.

Calculated values
SG	P4mm
calculated volume	19.63	Å³ per atom
calculated formation energy	0.25	eV per atom
density of states at the Fermi level	1.85	states/eV/f.u.
calculated total energy	-6.62	eV per atom

Cell: 3.1676 3.1676 7.8270 Å, 90.00 90.00 90.00°
Fractional positions:
P  0.0000  0.0000  0.0000
P  0.5000  0.5000  0.1755
Pb  0.0000  0.0000  0.5659
W  0.5000  0.5000  0.8646



[7]
Below is a geometry-optimized Sm5Sn2Ge structure, with properties calculated at the PBE level.

Calculated values
SG	Pbam
calculated volume	29.86	Å³ per atom
calculated formation energy	-0.70	eV per atom
density of states at the Fermi level	8.51	states/eV/f.u.
calculated total energy	-5.23	eV per atom

Cell: 8.2712 12.4853 4.6267 Å, 90.00 90.00 90.00°
Fractional positions:
Sm  0.0000  0.0000  0.0000
Sm  0.1475  0.2883  0.0000
Sm  0.1973  0.5684  0.5000
Sm  0.3027  0.0684  0.5000
Sm  0.3525  0.7883  0.0000
Sm  0.5000  0.5000  0.0000
Sm  0.6475  0.2117  0.0000
Sm  0.6973  0.9316  0.5000
Sm  0.8027  0.4316  0.5000
Sm  0.8525  0.7117  0.0000
Sn  0.0783  0.8277  0.5000
Sn  0.4217  0.3277  0.5000
Sn  0.5783  0.6723  0.5000
Sn  0.9217  0.1723  0.5000
Ge  0.0000  0.5000  0.0000
Ge  0.5000  0.0000  0.0000



[8]
Below is a geometry-optimized LiCe2Cd structure, with properties calculated at the PBE level.

Calculated values
SG	P4/mmm
calculated volume	25.41	Å³ per atom
calculated formation energy	0.08	eV per atom
density of states at the Fermi level	9.78	states/eV/f.u.
calculated total energy	-3.60	eV per atom

Cell: 3.9247 3.9247 6.5996 Å, 90.00 90.00 90.00°
Fractional positions:
Li  0.0000  0.0000  0.0000
Ce  0.5000  0.5000  0.2108
Ce  0.5000  0.5000  0.7892
Cd  0.0000  0.0000  0.5000



[9]
Below is a geometry-optimized NpGaPbAu structure, with properties calculated at the PBE level.

Calculated values
SG	F-43m
calculated volume	23.21	Å³ per atom
calculated formation energy	0.01	eV per atom
density of states at the Fermi level	10.85	states/eV/f.u.
calculated total energy	-5.73	eV per atom

Cell: 5.0826 5.0826 5.0826 Å, 60.00 60.00 60.00°
Fractional positions:
Np  0.0000  0.0000  0.0000
Ga  0.2500  0.2500  0.2500
Pb  0.5000  0.5000  0.5000
Au  0.7500  0.7500  0.7500



[10]
Below is a geometry-optimized MgPb8 structure, with properties calculated at the PBE level.

Calculated values
SG	I4/mmm
calculated volume	30.89	Å³ per atom
calculated formation energy	0.03	eV per atom
density of states at the Fermi level	6.51	states/eV/f.u.
calculated total energy	-3.44	eV per atom

Cell: 9.1408 9.1408 9.1408 Å, 92.04 92.04 158.24°
Fractional positions:
Mg  0.0000  0.0000  0.0000
Pb  0.0000  0.3325  0.3325
Pb  0.0000  0.6675  0.6675
Pb  0.3325  0.0000  0.3325
Pb  0.3421  0.3421  0.6842
Pb  0.3421  0.6579  0.0000
Pb  0.6579  0.3421  0.0000
Pb  0.6579  0.6579  0.3158
Pb  0.6675  0.0000  0.6675



[11]
Below is a geometry-optimized Nd6Ho5Tm structure, with properties calculated at the PBE level.

Calculated values
SG	Immm
calculated volume	32.94	Å³ per atom
calculated formation energy	0.02	eV per atom
density of states at the Fermi level	16.00	states/eV/f.u.
calculated total energy	-4.65	eV per atom

Cell: 9.5185 9.5185 9.5185 Å, 148.78 116.10 72.83°
Fractional positions:
Nd  0.0831  0.3334  0.7497
Nd  0.2495  0.0000  0.2495
Nd  0.4163  0.6666  0.7497
Nd  0.5837  0.3334  0.2503
Nd  0.7505  0.0000  0.7505
Nd  0.9169  0.6666  0.2503
Ho  0.1664  0.1664  0.0000
Ho  0.3334  0.8334  0.5000
Ho  0.5000  0.5000  0.0000
Ho  0.6666  0.1666  0.5000
Ho  0.8336  0.8336  0.0000
Tm  0.0000  0.5000  0.5000



[12]
Below is a geometry-optimized Ca2SiW structure, with properties calculated at the PBE level.

Calculated values
ΔE_f (raw)	0.77	eV per atom
SG	C2/m
calculated volume	20.67	Å³ per atom
density of states at the Fermi level	4.06	states/eV/f.u.
calculated total energy	-4.82	eV per atom

Cell: 5.4273 5.4273 5.2690 Å, 100.67 100.67 32.88°
Fractional positions:
Ca  0.2401  0.2401  0.2432
Ca  0.7599  0.7599  0.7568
Si  0.5000  0.5000  0.0000
W  0.0000  0.0000  0.5000